Density functional theory data (PBE) for crystalline Li2CaFe at its relaxed geometry.

Summary:
total magnetization: 2.07 μB per cell
DFT total energy: -3.140 eV/atom
energy of formation from the pure elements: 0.433 eV per atom
polymorph energy (0 for the lowest one): 0.082 eV/atom

a = 4.827 Å, b = 4.827 Å, c = 4.827 Å
α = 60.00°, β = 60.00°, γ = 60.00°
Fractional positions:
Li  0.250  0.250  0.250
Li  0.750  0.750  0.750
Ca  0.000  0.000  0.000
Fe  0.500  0.500  0.500



Density functional theory data (PBE) for crystalline TlFe2Rh at its relaxed geometry.

Summary:
total magnetization: 5.89 μB per cell
DFT total energy: -6.157 eV/atom
energy of formation from the pure elements: 0.504 eV per atom
polymorph energy (0 for the lowest one): 0.275 eV/atom

a = 8.880 Å, b = 8.880 Å, c = 8.880 Å
α = 18.77°, β = 18.77°, γ = 18.77°
Fractional positions:
Tl  0.000  0.000  0.000
Fe  0.243  0.243  0.243
Fe  0.757  0.757  0.757
Rh  0.500  0.500  0.500



Density functional theory data (PBE) for crystalline SrCoCl2 at its relaxed geometry.

Summary:
total magnetization: 2.94 μB per cell
ΔE_f (raw): -8.4 kcal/mol of atoms
DFT total energy: -3.486 eV/atom
polymorph energy (0 for the lowest one): 0.609 eV/atom

a = 5.186 Å, b = 5.186 Å, c = 5.186 Å
α = 60.00°, β = 60.00°, γ = 60.00°
Fractional positions:
Sr  0.000  0.000  0.000
Co  0.750  0.750  0.750
Cl  0.250  0.250  0.250
Cl  0.500  0.500  0.500



Density functional theory data (PBE) for crystalline CdAgAu2 at its relaxed geometry.

Summary:
total magnetization: 0.00 μB per cell
DFT total energy: -2.659 eV/atom
energy of formation from the pure elements: -0.078 eV per atom

a = 5.167 Å, b = 5.167 Å, c = 5.082 Å
α = 100.95°, β = 100.95°, γ = 34.02°
Fractional positions:
Cd  0.000  0.000  0.000
Ag  0.500  0.500  0.500
Au  0.251  0.251  0.748
Au  0.749  0.749  0.252